[1]
ZnTePbO | PBE-GGA | relaxed

a b c (Å): 3.3440 3.3440 17.2673
angles (deg): 90.00 90.00 120.00
Atoms (fractional coordinates):
Zn 0.3333 0.6667 0.0000
Zn 0.6667 0.3333 0.5000
Te 0.3333 0.6667 0.3583
Te 0.6667 0.3333 0.8583
Pb 0.0000 0.0000 0.1747
Pb 0.0000 0.0000 0.6747
O 0.0000 0.0000 0.0363
O 0.0000 0.0000 0.5363


[2]
ZnTePbO | PBE-GGA | relaxed

a b c (Å): 7.4246 6.3109 7.9593
angles (deg): 90.00 90.04 90.00
Atoms (fractional coordinates):
Zn 0.0641 0.0000 0.0897
Zn 0.4361 0.6523 0.5895
Zn 0.5639 0.1523 0.4105
Zn 0.9359 0.5000 0.9103
Te 0.0741 0.6891 0.6339
Te 0.4265 0.9644 0.1335
Te 0.5735 0.4644 0.8665
Te 0.9259 0.1891 0.3661
Pb 0.2081 0.1614 0.6783
Pb 0.2926 0.4913 0.1770
Pb 0.7074 0.9913 0.8230
Pb 0.7919 0.6614 0.3217
O 0.0146 0.2011 0.9062
O 0.4859 0.4521 0.4063
O 0.5141 0.9521 0.5937
O 0.9854 0.7011 0.0938


[3]
ZnTePbO | PBE-GGA | relaxed

a b c (Å): 4.1316 4.1316 12.5740
angles (deg): 90.00 90.00 120.00
Atoms (fractional coordinates):
Zn 0.0000 0.0000 0.0000
Zn 0.0000 0.0000 0.5000
Te 0.3333 0.6667 0.0893
Te 0.6667 0.3333 0.5893
Pb 0.3333 0.6667 0.7895
Pb 0.6667 0.3333 0.2895
O 0.0000 0.0000 0.3459
O 0.0000 0.0000 0.8459


[4]
ZnTePbO | PBE-GGA | relaxed

a b c (Å): 4.2848 4.2848 10.7296
angles (deg): 90.00 90.00 90.00
Atoms (fractional coordinates):
Zn 0.2500 0.2500 0.0065
Zn 0.7500 0.7500 0.9935
Te 0.2500 0.2500 0.2738
Te 0.7500 0.7500 0.7262
Pb 0.2500 0.7500 0.5000
Pb 0.7500 0.2500 0.5000
O 0.2500 0.7500 0.0000
O 0.7500 0.2500 0.0000


[5]
ZnTePbO | PBE-GGA | relaxed

a b c (Å): 6.6471 7.3225 7.6190
angles (deg): 90.00 90.00 90.00
Atoms (fractional coordinates):
Zn 0.0433 0.0585 0.0818
Zn 0.4567 0.9415 0.5818
Zn 0.5433 0.4415 0.9182
Zn 0.9567 0.5585 0.4182
Te 0.1222 0.8896 0.3930
Te 0.3778 0.1104 0.8930
Te 0.6222 0.6104 0.6070
Te 0.8778 0.3896 0.1070
Pb 0.1046 0.6535 0.8562
Pb 0.3954 0.3465 0.3562
Pb 0.6046 0.8465 0.1438
Pb 0.8954 0.1535 0.6438
O 0.1121 0.3721 0.5352
O 0.3879 0.6279 0.0352
O 0.6121 0.1279 0.4648
O 0.8879 0.8721 0.9648


[6]
ZnTePbO | PBE-GGA | relaxed

a b c (Å): 7.1477 3.3589 15.2048
angles (deg): 90.00 90.00 90.00
Atoms (fractional coordinates):
Zn 0.1987 0.2500 0.0807
Zn 0.3013 0.7500 0.5807
Zn 0.6987 0.2500 0.4193
Zn 0.8013 0.7500 0.9193
Te 0.1872 0.7500 0.9171
Te 0.3128 0.2500 0.4171
Te 0.6872 0.7500 0.5829
Te 0.8128 0.2500 0.0829
Pb 0.0494 0.7500 0.2766
Pb 0.4506 0.2500 0.7766
Pb 0.5494 0.7500 0.2234
Pb 0.9506 0.2500 0.7234
O 0.2181 0.2500 0.6357
O 0.2819 0.7500 0.1357
O 0.7181 0.2500 0.8643
O 0.7819 0.7500 0.3643


[7]
ZnTePbO | PBE-GGA | relaxed

a b c (Å): 3.9760 3.9760 13.3663
angles (deg): 90.00 90.00 90.00
Atoms (fractional coordinates):
Zn 0.2500 0.2500 0.0790
Zn 0.7500 0.7500 0.9210
Te 0.2500 0.2500 0.8759
Te 0.7500 0.7500 0.1241
Pb 0.2500 0.2500 0.5909
Pb 0.7500 0.7500 0.4091
O 0.2500 0.7500 0.5000
O 0.7500 0.2500 0.5000


[8]
ZnTePbO | PBE-GGA | relaxed

a b c (Å): 4.1823 13.4996 6.0884
angles (deg): 90.00 90.00 90.00
Atoms (fractional coordinates):
Zn 0.0000 0.0923 0.2500
Zn 0.0000 0.9077 0.7500
Zn 0.5000 0.4077 0.7500
Zn 0.5000 0.5923 0.2500
Te 0.0000 0.2922 0.7500
Te 0.0000 0.7078 0.2500
Te 0.5000 0.2078 0.2500
Te 0.5000 0.7922 0.7500
Pb 0.0000 0.4049 0.2500
Pb 0.0000 0.5951 0.7500
Pb 0.5000 0.0951 0.7500
Pb 0.5000 0.9049 0.2500
O 0.0000 0.0000 0.0000
O 0.0000 0.0000 0.5000
O 0.5000 0.5000 0.0000
O 0.5000 0.5000 0.5000


[9]
ZnTePbO | PBE-GGA | relaxed

a b c (Å): 3.0877 17.7186 5.9085
angles (deg): 90.00 90.00 90.00
Atoms (fractional coordinates):
Zn 0.0000 0.0337 0.2500
Zn 0.0000 0.9663 0.7500
Zn 0.5000 0.4663 0.7500
Zn 0.5000 0.5337 0.2500
Te 0.0000 0.3133 0.7500
Te 0.0000 0.6867 0.2500
Te 0.5000 0.1867 0.2500
Te 0.5000 0.8133 0.7500
Pb 0.0000 0.3728 0.2500
Pb 0.0000 0.6272 0.7500
Pb 0.5000 0.1272 0.7500
Pb 0.5000 0.8728 0.2500
O 0.0000 0.5000 0.0000
O 0.0000 0.5000 0.5000
O 0.5000 0.0000 0.0000
O 0.5000 0.0000 0.5000


[10]
ZnTePbO | PBE-GGA | relaxed

a b c (Å): 7.4849 8.0785 12.9363
angles (deg): 90.00 90.00 90.00
Atoms (fractional coordinates):
Zn 0.0778 0.1924 0.0646
Zn 0.0778 0.3076 0.5646
Zn 0.4222 0.6924 0.0646
Zn 0.4222 0.8076 0.5646
Zn 0.5778 0.1924 0.4354
Zn 0.5778 0.3076 0.9354
Zn 0.9222 0.6924 0.4354
Zn 0.9222 0.8076 0.9354
Te 0.2473 0.5644 0.4684
Te 0.2473 0.9356 0.9684
Te 0.2527 0.0644 0.4684
Te 0.2527 0.4356 0.9684
Te 0.7473 0.5644 0.0316
Te 0.7473 0.9356 0.5316
Te 0.7527 0.0644 0.0316
Te 0.7527 0.4356 0.5316
Pb 0.1431 0.5936 0.7436
Pb 0.1431 0.9064 0.2436
Pb 0.3569 0.0936 0.7436
Pb 0.3569 0.4064 0.2436
Pb 0.6431 0.5936 0.7564
Pb 0.6431 0.9064 0.2564
Pb 0.8569 0.0936 0.7564
Pb 0.8569 0.4064 0.2564
O 0.1022 0.2368 0.2134
O 0.1022 0.2632 0.7134
O 0.3978 0.7368 0.2134
O 0.3978 0.7632 0.7134
O 0.6022 0.2368 0.2866
O 0.6022 0.2632 0.7866
O 0.8978 0.7368 0.2866
O 0.8978 0.7632 0.7866


[11]
ZnTePbO | PBE-GGA | relaxed

a b c (Å): 10.3002 19.2580 4.3389
angles (deg): 90.00 90.00 90.00
Atoms (fractional coordinates):
Zn 0.0871 0.1213 0.0000
Zn 0.1387 0.6265 0.0000
Zn 0.3613 0.1265 0.0000
Zn 0.4129 0.6213 0.0000
Zn 0.5871 0.3787 0.0000
Zn 0.6387 0.8735 0.0000
Zn 0.8613 0.3735 0.0000
Zn 0.9129 0.8787 0.0000
Te 0.0050 0.3797 0.5000
Te 0.0552 0.8684 0.5000
Te 0.4448 0.3684 0.5000
Te 0.4950 0.8797 0.5000
Te 0.5050 0.1203 0.5000
Te 0.5552 0.6316 0.5000
Te 0.9448 0.1316 0.5000
Te 0.9950 0.6203 0.5000
Pb 0.2105 0.2517 0.5000
Pb 0.2418 0.4964 0.5000
Pb 0.2582 0.9964 0.5000
Pb 0.2895 0.7517 0.5000
Pb 0.7105 0.2483 0.5000
Pb 0.7418 0.0036 0.5000
Pb 0.7582 0.5036 0.5000
Pb 0.7895 0.7483 0.5000
O 0.2229 0.1984 0.0000
O 0.2264 0.0491 0.0000
O 0.2736 0.5491 0.0000
O 0.2771 0.6984 0.0000
O 0.7229 0.3016 0.0000
O 0.7264 0.4509 0.0000
O 0.7736 0.9509 0.0000
O 0.7771 0.8016 0.0000


[12]
ZnTePbO | PBE-GGA | relaxed

a b c (Å): 7.2469 7.6989 6.8967
angles (deg): 90.00 90.00 90.00
Atoms (fractional coordinates):
Zn 0.0834 0.1603 0.0000
Zn 0.4166 0.1603 0.5000
Zn 0.5834 0.8397 0.0000
Zn 0.9166 0.8397 0.5000
Te 0.0645 0.1370 0.6096
Te 0.4355 0.1370 0.1096
Te 0.5645 0.8630 0.6096
Te 0.9355 0.8630 0.1096
Pb 0.1582 0.5798 0.8843
Pb 0.3418 0.5798 0.3843
Pb 0.6582 0.4202 0.8843
Pb 0.8418 0.4202 0.3843
O 0.0109 0.6123 0.5724
O 0.4891 0.6123 0.0724
O 0.5109 0.3877 0.5724
O 0.9891 0.3877 0.0724


The following DFT total energy values (in eV/atom) correspond, in order, to the records above: -3.848 -4.033 -4.036 -3.574 -3.982 -3.852 -3.890 -3.930 -3.755 -3.949 -4.031 -4.000.
The following excess energy over the best structure of this formula in the dataset values (in kJ per mole of atoms) correspond, in order, to the records above: 19.42 1.54 1.25 45.82 6.51 19.00 15.32 11.49 28.37 9.65 1.75 4.72.
The following calculated volume values (in A^3/atom) correspond, in order, to the records above: 20.90 23.31 23.24 24.62 23.18 22.82 26.41 21.48 20.20 24.44 26.90 24.05.